No. 1
The following is a PBE-GGA calculation of an optimized crystal structure of Mg3W, from Alexandria.

ΔH_f (0 K): 0.339 eV/atom
size of the total moment: 0.000 μB per atom
energy above the lowest structure with this stoichiometry: 1.24 kcal/mol of atoms

The structure in POSCAR format:
```
Mg3W
1.0
1.490 0.860 10.050
-1.490 0.860 10.050
0.000 -1.721 10.050
Mg W
3 1
Cartesian
0.000 0.000 0.000
0.000 0.000 7.362
0.000 0.000 22.789
0.000 0.000 15.075
```

---

No. 2
The following is a PBE-GGA calculation of an optimized crystal structure of RePbCl2F6, from Alexandria.

formation energy without anion corrections: -1.588 eV/atom
size of the total moment: 0.097 μB per atom

The structure in POSCAR format:
```
RePbCl2F6
1.0
0.000 4.511 4.511
4.511 0.000 4.511
4.511 4.511 0.000
Re Pb Cl F
1 1 2 6
Cartesian
0.000 0.000 0.000
4.511 4.511 4.511
2.255 2.255 2.255
6.766 6.766 6.766
4.511 4.511 1.900
4.511 1.900 4.511
7.122 4.511 4.511
1.900 4.511 4.511
4.511 7.122 4.511
4.511 4.511 7.122
```

---

No. 3
The following is a PBE-GGA calculation of an optimized crystal structure of Co3PRh, from Alexandria.

ΔH_f (0 K): 1.517 eV/atom
size of the total moment: 1.477 μB per atom
energy above the lowest structure with this stoichiometry: 25.65 kcal/mol of atoms

The structure in POSCAR format:
```
Co3PRh
1.0
4.508 0.000 0.000
0.000 4.508 0.000
0.000 0.000 4.508
Co P Rh
3 1 1
Cartesian
0.000 0.000 2.254
0.000 2.254 0.000
2.254 0.000 0.000
2.254 2.254 2.254
0.000 0.000 0.000
```

---

No. 4
The following is a PBE-GGA calculation of an optimized crystal structure of Ba2CdCuAu, from Alexandria.

ΔH_f (0 K): 0.192 eV/atom
size of the total moment: 0.000 μB per atom

The structure in POSCAR format:
```
Ba2CdCuAu
1.0
6.463 0.000 0.000
0.000 6.463 0.000
0.000 0.000 5.156
Ba Cd Cu Au
2 1 1 1
Cartesian
0.000 3.231 0.000
3.231 0.000 0.000
0.000 0.000 0.000
3.231 3.231 2.578
0.000 0.000 2.578
```

---

No. 5
The following is a PBE-GGA calculation of an optimized crystal structure of LiNd2Tc, from Alexandria.

ΔH_f (0 K): 0.349 eV/atom
size of the total moment: 0.000 μB per atom

The structure in POSCAR format:
```
LiNd2Tc
1.0
1.750 1.010 10.836
-1.750 1.010 10.836
0.000 -2.020 10.836
Li Nd Tc
1 2 1
Cartesian
0.000 0.000 0.000
0.000 0.000 3.346
0.000 0.000 29.161
0.000 0.000 16.254
```

---

No. 6
The following is a PBE-GGA calculation of an optimized crystal structure of HfPa2Ta, from Alexandria.

ΔH_f (0 K): 0.211 eV/atom
size of the total moment: 0.000 μB per atom
energy above the lowest structure with this stoichiometry: 0.25 kcal/mol of atoms

The structure in POSCAR format:
```
HfPa2Ta
1.0
2.995 0.000 0.000
0.000 2.995 0.000
0.000 0.000 10.100
Hf Pa Ta
1 2 1
Cartesian
0.000 0.000 0.000
1.498 1.498 2.585
1.498 1.498 7.515
0.000 0.000 5.050
```

---

Calculated density per entry: 5.5, 5.2, 5.6, 5.0, 5.7, 15.1 g/cm³